Pr4SmHo5 (GGA-PBE, optimized geometry); ΔE_f = 1.923 eV per formula unit; V = 347.86 Å³/cell; total moment = 0.00 μB/atom; DOS(E_F) = 1.41 states/eV per atom
1.0
3.4758 -0.0003 -0.7062
-0.1238 11.3618 -0.6067
-0.0246 0.4497 8.7887
Ho Pr Sm
5 4 1
Cartesian
2.8054 5.4463 4.8916 Ho
0.5220 6.3648 2.5842 Ho
0.4760 10.9505 2.3604 Ho
2.8513 0.8606 5.1153 Ho
1.6760 5.6807 -0.6565 Ho
0.0231 8.5349 0.1010 Pr
1.0833 8.8310 5.3029 Pr
3.3042 3.2762 7.3748 Pr
2.2440 2.9801 2.1729 Pr
1.7379 -0.0002 -0.3531 Sm

---

CaCu2Au (GGA-PBE, optimized geometry); ΔE_f = -1.011 eV per formula unit; V = 79.67 Å³/cell; total moment = 0.00 μB/atom; DOS(E_F) = 0.46 states/eV per atom
1.0
5.1708 -1.2299 -0.7285
4.3165 3.1012 -0.7285
4.3165 0.8514 3.0698
Cu Ca Au
2 1 1
Cartesian
13.0968 2.5832 1.5301 Cu
7.6091 1.5008 0.8890 Cu
10.3529 2.0420 1.2096 Ca
3.4510 0.6807 0.4032 Au

---

BC2 (GGA-PBE, optimized geometry); ΔE_f = 0.902 eV per formula unit; V = 76.69 Å³/cell; total moment = 0.00 μB/atom; DOS(E_F) = 0.16 states/eV per atom
1.0
5.9731 0.1120 -1.2860
5.3944 2.5674 -1.2860
0.0134 0.0032 5.2030
C B
8 4
Cartesian
7.6119 1.7941 -0.0433 C
2.7769 0.6545 3.9314 C
6.7557 1.5923 -1.2844 C
10.5049 2.4760 1.2832 C
7.6181 1.7956 2.6658 C
11.2694 2.6562 0.0293 C
10.4913 2.4728 -1.2193 C
2.7265 0.6426 1.3299 C
3.8158 0.8994 -0.0239 B
3.7572 0.8856 2.5961 B
6.6770 1.5738 1.3379 B
11.3355 2.6718 2.6269 B

---

MnS4 (GGA-PBE, optimized geometry); ΔE_f (raw) = 0.57 eV/atom; V = 88.86 Å³/cell; total moment = 0.48 μB/atom; DOS(E_F) = 0.90 states/eV per atom
1.0
4.4625 0.0000 0.0000
0.0000 4.4625 0.0000
0.0000 0.0000 4.4625
Mn S
1 4
Cartesian
2.2312 2.2312 2.2312 Mn
2.2312 2.2312 0.0000 S
0.0000 0.0000 0.0000 S
0.0000 2.2312 2.2312 S
2.2312 0.0000 2.2312 S

---

CrWCl3 (GGA-PBE, optimized geometry); ΔE_f (raw) = 0.44 eV/atom; V = 118.39 Å³/cell; total moment = 1.58 μB/atom; DOS(E_F) = 0.47 states/eV per atom
1.0
-2.0131 1.3664 4.2650
4.0017 -1.5510 2.3857
2.0110 4.4540 -0.4777
Cr Cl W
1 3 1
Cartesian
1.9998 2.1347 3.0865 Cr
1.0055 2.2270 -0.2388 Cl
-1.0066 0.6832 2.1325 Cl
2.0008 -0.7755 1.1928 Cl
0.0000 0.0000 0.0000 W

---

Sm3HoTh2 (GGA-PBE, optimized geometry); ΔE_f = 0.225 eV per formula unit; V = 393.47 Å³/cell; total moment = 0.00 μB/atom; DOS(E_F) = 1.34 states/eV per atom
1.0
-2.8260 2.1567 -0.6096
-3.0704 -1.3197 9.5641
5.8568 8.5228 3.0010
Sm Th Ho
6 4 2
Cartesian
1.2976 8.5930 8.3790 Sm
-0.9309 2.9451 9.3989 Sm
0.8913 6.4147 2.5566 Sm
-2.5681 2.9281 6.2586 Sm
-1.3372 0.7668 3.5764 Sm
2.5285 6.4317 5.6969 Sm
0.5788 3.6006 4.7195 Th
-2.9360 0.0734 8.5349 Th
2.8965 9.2864 3.4205 Th
-0.6184 5.7592 7.2360 Th
-1.0389 3.5835 1.4885 Ho
0.9993 5.7763 10.4669 Ho